A plane-wave DFT calculation with PBE-GGA was carried out for an optimized crystal structure of Mg5TlAg2.

extended XYZ file:
```
16
Lattice="-3.745 3.745 6.134 3.745 -3.745 6.134 3.745 3.745 -6.134" Properties=species:S:1:pos:R:3 pbc="T T T"
Mg 0.000 0.000 0.000
Mg 4.888 1.142 -1.827
Mg 1.142 2.603 -1.827
Mg 4.888 1.142 1.827
Mg 1.142 2.603 1.827
Mg 0.000 0.000 6.134
Mg 2.603 1.142 4.307
Mg -1.142 2.603 4.307
Mg 2.603 1.142 7.961
Mg -1.142 2.603 7.961
Tl 0.000 0.000 3.067
Tl 0.000 0.000 9.202
Ag 2.693 1.052 0.000
Ag 2.693 -1.052 6.134
Ag 1.052 4.798 0.000
Ag 1.052 2.693 6.134
```

Density of states at the Fermi level (states/eV per atom): 0.260
DFT total energy (eV per formula unit): -16.904
Space group: I4/mcm
Calculated volume (Å³/atom): 21.51
Crystal system: tetragonal
Energy of formation from the pure elements (meV/atom): -108
Total magnetization (Bohr magnetons per cell): 0.000

***

A plane-wave DFT calculation with PBE-GGA was carried out for an optimized crystal structure of Pm4CdPt5.

extended XYZ file:
```
10
Lattice="3.575 0.000 0.000 0.000 3.575 0.000 0.000 0.000 17.219" Properties=species:S:1:pos:R:3 pbc="T T T"
Pm 0.000 0.000 1.811
Pm 0.000 0.000 5.440
Pm 0.000 0.000 11.779
Pm 0.000 0.000 15.408
Cd 0.000 0.000 8.610
Pt 1.788 1.788 0.000
Pt 1.788 1.788 3.586
Pt 1.788 1.788 7.107
Pt 1.788 1.788 10.112
Pt 1.788 1.788 13.634
```

Density of states at the Fermi level (states/eV per atom): 0.372
DFT total energy (eV per formula unit): -59.684
Space group: P4/mmm
Calculated volume (Å³/atom): 22.01
Crystal system: tetragonal
Energy of formation from the pure elements (meV/atom): -956
Total magnetization (Bohr magnetons per cell): 0.000

***

A plane-wave DFT calculation with PBE-GGA was carried out for an optimized crystal structure of RbZrB.

extended XYZ file:
```
6
Lattice="3.482 0.000 0.000 0.000 3.556 0.000 -1.554 -0.351 13.219" Properties=species:S:1:pos:R:3 pbc="T T T"
Rb 0.000 0.000 0.000
Rb 0.186 1.426 4.539
Zr 0.193 3.284 7.813
Zr 1.935 1.506 9.946
B 0.193 -0.266 10.236
B 1.934 1.511 7.523
```

Density of states at the Fermi level (states/eV per atom): 0.509
DFT total energy (eV per formula unit): -15.694
Space group: P1
Calculated volume (Å³/atom): 27.28
Crystal system: triclinic
Energy of formation from the pure elements (meV/atom): 167
Excess energy over the best structure of this formula in the dataset (meV per atom): 168
Total magnetization (Bohr magnetons per cell): 0.000

***

A plane-wave DFT calculation with PBE-GGA was carried out for an optimized crystal structure of KReP.

extended XYZ file:
```
3
Lattice="0.000 3.461 3.461 3.461 0.000 3.461 3.461 3.461 0.000" Properties=species:S:1:pos:R:3 pbc="T T T"
K 0.000 0.000 0.000
Re 5.192 5.192 5.192
P 1.731 1.731 1.731
```

Density of states at the Fermi level (states/eV per atom): 1.044
DFT total energy (eV per formula unit): -11.502
Space group: F-43m
Calculated volume (Å³/atom): 27.64
Crystal system: cubic
Energy of formation from the pure elements (meV/atom): 2484
Total magnetization (Bohr magnetons per cell): 4.483

***

A plane-wave DFT calculation with PBE-GGA was carried out for an optimized crystal structure of ScAsP.

extended XYZ file:
```
3
Lattice="1.899 1.096 4.633 -1.899 1.096 4.633 0.000 -2.193 4.633" Properties=species:S:1:pos:R:3 pbc="T T T"
Sc 0.000 0.000 0.000
As 0.000 0.000 2.928
P 0.000 0.000 10.726
```

Density of states at the Fermi level (states/eV per atom): 0.718
DFT total energy (eV per formula unit): -17.666
Space group: R3m
Calculated volume (Å³/atom): 19.29
Crystal system: trigonal
Energy of formation from the pure elements (meV/atom): -425
Excess energy over the best structure of this formula in the dataset (meV per atom): 276
Total magnetization (Bohr magnetons per cell): 0.000

***

A plane-wave DFT calculation with PBE-GGA was carried out for an optimized crystal structure of InTe2NO.

extended XYZ file:
```
5
Lattice="5.931 0.000 0.000 0.000 5.931 0.000 0.000 0.000 3.996" Properties=species:S:1:pos:R:3 pbc="T T T"
In 0.000 0.000 0.000
Te 0.000 2.966 0.000
Te 2.966 0.000 0.000
N 0.000 0.000 1.998
O 2.966 2.966 1.998
```

Density of states at the Fermi level (states/eV per atom): 1.262
DFT total energy (eV per formula unit): -15.267
Space group: P4/mmm
Calculated volume (Å³/atom): 28.12
Crystal system: tetragonal
Excess energy over the best structure of this formula in the dataset (meV per atom): 436
ΔE_f (raw) (eV/atom): 1.4076
Total magnetization (Bohr magnetons per cell): 4.037

***

A plane-wave DFT calculation with PBE-GGA was carried out for an optimized crystal structure of Ba2SrTlF.

extended XYZ file:
```
5
Lattice="5.675 0.000 0.000 0.000 5.675 0.000 0.000 0.000 5.361" Properties=species:S:1:pos:R:3 pbc="T T T"
Ba 0.000 2.838 0.000
Ba 2.838 0.000 0.000
Sr 0.000 0.000 2.680
Tl 2.838 2.838 2.680
F 0.000 0.000 0.000
```

Density of states at the Fermi level (states/eV per atom): 0.653
DFT total energy (eV per formula unit): -15.813
Space group: P4/mmm
Calculated volume (Å³/atom): 34.53
Crystal system: tetragonal
ΔE_f (raw) (eV/atom): -1.2097
Total magnetization (Bohr magnetons per cell): 0.000

***

A plane-wave DFT calculation with PBE-GGA was carried out for an optimized crystal structure of KCaY2.

extended XYZ file:
```
4
Lattice="1.840 1.062 13.422 -1.840 1.062 13.422 0.000 -2.125 13.422" Properties=species:S:1:pos:R:3 pbc="T T T"
K 0.000 0.000 0.000
Ca 0.000 0.000 20.133
Y 0.000 0.000 9.771
Y 0.000 0.000 30.495
```

Density of states at the Fermi level (states/eV per atom): 1.661
DFT total energy (eV per formula unit): -14.807
Space group: R-3m
Calculated volume (Å³/atom): 39.36
Crystal system: trigonal
Energy of formation from the pure elements (meV/atom): 305
Excess energy over the best structure of this formula in the dataset (meV per atom): 123
Total magnetization (Bohr magnetons per cell): 0.822